SrBeTcPb2 | Alexandria | PBE | optimized geometry; space-group type = P4/mmm; crystal system = tetragonal; uncorrected energy = -19.40 eV for the cell shown; formation energy from the elements = 0.76 eV/atom
1.0
5.311 0.000 0.000
0.000 5.719 0.000
0.000 0.000 5.311
Pb Sr Tc Be
2 1 1 1
Cartesian
0.000 0.000 2.655
2.655 0.000 0.000
0.000 2.859 0.000
0.000 0.000 0.000
2.655 2.859 2.655


Sr2TiBePb | Alexandria | PBE | optimized geometry; space-group type = P4/mmm; crystal system = tetragonal; uncorrected energy = -14.42 eV for the cell shown; formation energy from the elements = 0.86 eV/atom
1.0
-2.738 -5.300 2.098
4.650 -1.580 2.078
-1.443 2.897 5.433
Pb Sr Be Ti
1 2 1 1
Cartesian
0.000 0.000 0.000
-0.722 1.448 2.716
-1.369 -2.650 1.049
0.234 -1.992 4.804
2.325 -0.790 1.039


Sr2BePbW | Alexandria | PBE | optimized geometry; space-group type = P4/mmm; crystal system = tetragonal; uncorrected energy = -18.23 eV for the cell shown; formation energy from the elements = 1.10 eV/atom
1.0
-5.438 -0.302 2.181
-0.015 -4.479 -0.656
2.201 -0.795 5.379
Pb Sr W Be
1 2 1 1
Cartesian
-0.007 -2.239 -0.328
1.101 -0.398 2.690
-2.719 -0.151 1.090
-1.625 -2.788 3.452
0.000 0.000 0.000


Q: Which of these has the lowest formation energy from the elements?
A: SrBeTcPb2


Q: uncorrected energy of number 3 (Sr2BePbW)?
A: -18.23 eV for the cell shown